# Li2HgMo PBE-GGA optimized geometry
# Formation energy, eV per atom: 0.340
# Final energy, eV/cell: -13.6
data_Li2HgMo
_cell_length_a 2.788
_cell_length_b 4.865
_cell_length_c 5.048
_cell_angle_alpha 90.00
_cell_angle_beta 90.00
_cell_angle_gamma 90.00
_symmetry_space_group_name_H-M 'P m m m'
_symmetry_Int_Tables_number 47
loop_
_symmetry_equiv_pos_as_xyz
'x,y,z'
'-x,-y,-z'
'-x,-y,z'
'x,y,-z'
'x,-y,-z'
'-x,y,z'
'-x,y,-z'
'x,-y,z'
loop_
_atom_site_label
_atom_site_fract_x
_atom_site_fract_y
_atom_site_fract_z
Li1 0.000 0.000 0.000
Li2 0.500 0.000 0.500
Hg1 0.000 0.500 0.500
Mo1 0.500 0.500 0.000

# Li2HgMo PBE-GGA optimized geometry
# Formation energy, eV per atom: 0.351
# Final energy, eV/cell: -27.1
data_Li2HgMo
_cell_length_a 2.761
_cell_length_b 5.073
_cell_length_c 9.842
_cell_angle_alpha 90.00
_cell_angle_beta 90.00
_cell_angle_gamma 90.00
_symmetry_space_group_name_H-M 'I m m m'
_symmetry_Int_Tables_number 71
_symmetry_space_group_name_Hall '-I 2 2'
loop_
_atom_site_label
_atom_site_fract_x
_atom_site_fract_y
_atom_site_fract_z
Li1 0.000 0.000 0.244
Hg1 0.000 0.500 0.500
Mo1 0.000 0.500 0.000

# Li2HgMo PBE-GGA optimized geometry
# Formation energy, eV per atom: 0.347
# Final energy, eV/cell: -40.7
data_Li2HgMo
_cell_length_a 2.8863
_cell_length_b 2.8863
_cell_length_c 29.7558
_cell_angle_alpha 90.00
_cell_angle_beta 90.00
_cell_angle_gamma 120.00
_symmetry_space_group_name_H-M 'R 3 m'
_symmetry_Int_Tables_number 160
_symmetry_space_group_name_Hall 'R 3 -2"'
loop_
_atom_site_label
_atom_site_fract_x
_atom_site_fract_y
_atom_site_fract_z
Li1 0.0000 0.0000 0.0000
Li2 0.0000 0.0000 0.2460
Hg1 0.0000 0.0000 0.7453
Mo1 0.0000 0.0000 0.4990

# Li2HgMo PBE-GGA optimized geometry
# Formation energy, eV per atom: 0.728
# Final energy, eV/cell: -48.2
data_Li2HgMo
_cell_length_a 7.018
_cell_length_b 7.018
_cell_length_c 5.500
_cell_angle_alpha 90.00
_cell_angle_beta 90.00
_cell_angle_gamma 90.00
_symmetry_space_group_name_H-M 'I -4 2 d'
_symmetry_Int_Tables_number 122
_symmetry_space_group_name_Hall 'I -4 2bw'
loop_
_atom_site_label
_atom_site_fract_x
_atom_site_fract_y
_atom_site_fract_z
Li1 0.238 0.250 0.125
Hg1 0.000 0.000 0.000
Mo1 0.000 0.000 0.500

# LiHg3Mo PBE-GGA optimized geometry
# Formation energy, eV per atom: 0.651
# Final energy, eV/cell: -10.4
# ΔE to the lowest computed polymorph, eV per atom: 0.000
data_LiHg3Mo
_cell_length_a 5.396
_cell_length_b 5.396
_cell_length_c 5.396
_cell_angle_alpha 90.00
_cell_angle_beta 90.00
_cell_angle_gamma 90.00
_symmetry_space_group_name_H-M 'P m -3 m'
_symmetry_Int_Tables_number 221
_symmetry_space_group_name_Hall '-P 4 2 3'
loop_
_atom_site_label
_atom_site_fract_x
_atom_site_fract_y
_atom_site_fract_z
Li1 0.000 0.000 0.000
Hg1 0.000 0.500 0.500
Mo1 0.500 0.500 0.500

# Li2HgMo PBE-GGA optimized geometry
# Formation energy, eV per atom: 0.364
# Final energy, eV/cell: -27.0
data_Li2HgMo
_cell_length_a 5.821
_cell_length_b 8.633
_cell_length_c 2.661
_cell_angle_alpha 90.00
_cell_angle_beta 90.00
_cell_angle_gamma 90.00
_symmetry_space_group_name_H-M 'C m m m'
_symmetry_Int_Tables_number 65
_symmetry_space_group_name_Hall '-C 2 2'
loop_
_atom_site_label
_atom_site_fract_x
_atom_site_fract_y
_atom_site_fract_z
Li1 0.250 0.250 0.000
Hg1 0.000 0.000 0.500
Mo1 0.000 0.500 0.500

# LiHgMo4 PBE-GGA optimized geometry
# Formation energy, eV per atom: 0.574
# Final energy, eV/cell: -168.4
data_LiHgMo4
_cell_length_a 7.490
_cell_length_b 7.490
_cell_length_c 7.490
_cell_angle_alpha 90.00
_cell_angle_beta 90.00
_cell_angle_gamma 90.00
_symmetry_space_group_name_H-M 'F -4 3 m'
_symmetry_Int_Tables_number 216
_symmetry_space_group_name_Hall 'F -4 2 3'
loop_
_atom_site_label
_atom_site_fract_x
_atom_site_fract_y
_atom_site_fract_z
Li1 0.000 0.000 0.000
Hg1 0.250 0.250 0.250
Mo1 0.127 0.127 0.627

# Li4HgMo PBE-GGA optimized geometry
# Formation energy, eV per atom: 0.347
# Final energy, eV/cell: -66.8
data_Li4HgMo
_cell_length_a 7.205
_cell_length_b 7.205
_cell_length_c 7.205
_cell_angle_alpha 90.00
_cell_angle_beta 90.00
_cell_angle_gamma 90.00
_symmetry_space_group_name_H-M 'F -4 3 m'
_symmetry_Int_Tables_number 216
_symmetry_space_group_name_Hall 'F -4 2 3'
loop_
_atom_site_label
_atom_site_fract_x
_atom_site_fract_y
_atom_site_fract_z
Li1 0.124 0.124 0.124
Hg1 0.000 0.000 0.500
Mo1 0.250 0.250 0.750

# LiHgMo PBE-GGA optimized geometry
# Formation energy, eV per atom: 0.383
# Final energy, eV/cell: -23.8
# ΔE to the lowest computed polymorph, eV per atom: 0.002
data_LiHgMo
_cell_length_a 2.748
_cell_length_b 2.748
_cell_length_c 13.649
_cell_angle_alpha 90.00
_cell_angle_beta 90.00
_cell_angle_gamma 90.00
_symmetry_space_group_name_H-M 'I 4 m m'
_symmetry_Int_Tables_number 107
_symmetry_space_group_name_Hall 'I 4 -2'
loop_
_atom_site_label
_atom_site_fract_x
_atom_site_fract_y
_atom_site_fract_z
Li1 0.000 0.000 0.000
Hg1 0.000 0.000 0.661
Mo1 0.000 0.000 0.336

# Li2HgMo PBE-GGA optimized geometry
# Formation energy, eV per atom: 0.274
# Final energy, eV/cell: -13.9
data_Li2HgMo
_cell_length_a 2.845
_cell_length_b 2.845
_cell_length_c 8.161
_cell_angle_alpha 90.00
_cell_angle_beta 90.00
_cell_angle_gamma 90.00
_symmetry_space_group_name_H-M 'P 4 m m'
_symmetry_Int_Tables_number 99
loop_
_symmetry_equiv_pos_as_xyz
'x,y,z'
'-y,x,z'
'-x,-y,z'
'y,-x,z'
'-x,y,z'
'y,x,z'
'x,-y,z'
'-y,-x,z'
loop_
_atom_site_label
_atom_site_fract_x
_atom_site_fract_y
_atom_site_fract_z
Li1 0.000 0.000 0.000
Li2 0.500 0.500 0.244
Hg1 0.500 0.500 0.762
Mo1 0.000 0.000 0.483

# Li2HgMo PBE-GGA optimized geometry
# Formation energy, eV per atom: 0.241
# Final energy, eV/cell: -14.0
data_Li2HgMo
_cell_length_a 2.779
_cell_length_b 2.779
_cell_length_c 8.451
_cell_angle_alpha 90.00
_cell_angle_beta 90.00
_cell_angle_gamma 90.00
_symmetry_space_group_name_H-M 'P 4/m m m'
_symmetry_Int_Tables_number 123
_symmetry_space_group_name_Hall '-P 4 2'
loop_
_atom_site_label
_atom_site_fract_x
_atom_site_fract_y
_atom_site_fract_z
Li1 0.000 0.000 0.249
Hg1 0.500 0.500 0.500
Mo1 0.500 0.500 0.000

# LiHgMo PBE-GGA optimized geometry
# Formation energy, eV per atom: 0.560
# Final energy, eV/cell: -22.7
# ΔE to the lowest computed polymorph, eV per atom: 0.179
data_LiHgMo
_cell_length_a 2.729
_cell_length_b 4.466
_cell_length_c 8.654
_cell_angle_alpha 90.00
_cell_angle_beta 90.00
_cell_angle_gamma 90.00
_symmetry_space_group_name_H-M 'I m m 2'
_symmetry_Int_Tables_number 44
loop_
_symmetry_equiv_pos_as_xyz
'x,y,z'
'-x,-y,z'
'-x,y,z'
'x,-y,z'
'x+1/2,y+1/2,z+1/2'
'-x+1/2,-y+1/2,z+1/2'
'-x+1/2,y+1/2,z+1/2'
'x+1/2,-y+1/2,z+1/2'
loop_
_atom_site_label
_atom_site_fract_x
_atom_site_fract_y
_atom_site_fract_z
Li1 0.000 0.000 0.000
Hg1 0.000 0.000 0.335
Mo1 0.000 0.000 0.671

The highest final energy belongs to which entry? LiHg3Mo